No. 1
## Li3Ag4Pb (PBE-GGA)

Data for an optimized crystal structure of Li3Ag4Pb.

Cell: 3.3711 4.6256 10.8248 Å, 74.19 62.14 89.98°
Positions (direct):
Pb: 0.0000 0.0000 0.0000
Ag: 0.6350 0.3437 0.2430
Ag: 0.3650 0.6563 0.7570
Ag: 0.7573 0.2520 0.4952
Ag: 0.2427 0.7480 0.5048
Li: 0.0947 0.8311 0.2693
Li: 0.9053 0.1689 0.7307
Li: 0.5000 0.5000 0.0000

## Properties
final energy = -2.77 eV/atom
total magnetic moment = 0.0 μB/cell
energy relative to the lowest polymorph listed for this composition = 0.00 eV/f.u.
calculated formation energy = -0.1659 eV per atom

=====

No. 2
## Tb4Au2C (PBE-GGA)

Data for an optimized crystal structure of Tb4Au2C.

Cell: 4.8693 4.8693 8.0558 Å, 107.59 107.59 90.00°
Positions (direct):
Tb: 0.8285 0.8285 0.6571
Tb: 0.1715 0.1715 0.3429
Tb: 0.0000 0.5000 0.0000
Tb: 0.5000 0.0000 0.0000
C: 0.0000 0.0000 0.0000
Au: 0.6301 0.6301 0.2603
Au: 0.3699 0.3699 0.7397

## Properties
final energy = -5.40 eV/atom
total magnetic moment = 0.0 μB/cell
calculated formation energy = -0.4964 eV per atom

=====

No. 3
## Tb2SmDy6Y3 (PBE-GGA)

Data for an optimized crystal structure of Tb2SmDy6Y3.

Cell: 6.1630 6.1630 11.8001 Å, 94.97 94.97 119.96°
Positions (direct):
Tb: 0.3333 0.6667 0.0000
Tb: 0.6667 0.3333 0.0000
Sm: 0.0000 0.0000 0.0000
Dy: 0.9167 0.5830 0.7499
Dy: 0.7496 0.7496 0.2500
Dy: 0.0833 0.4170 0.2501
Dy: 0.5830 0.9167 0.7499
Dy: 0.2504 0.2504 0.7500
Dy: 0.4170 0.0833 0.2501
Y: 0.1668 0.8332 0.5000
Y: 0.8332 0.1668 0.5000
Y: 0.5000 0.5000 0.5000

## Properties
final energy = -5.06 eV/atom
total magnetic moment = 0.0 μB/cell
calculated formation energy = 0.0175 eV per atom

=====

No. 4
## Nd3SmCd6 (PBE-GGA)

Data for an optimized crystal structure of Nd3SmCd6.

Cell: 5.2535 9.4656 11.2789 Å, 105.38 90.00 90.00°
Positions (direct):
Nd: 0.2500 0.5239 0.3916
Nd: 0.7500 0.4761 0.6084
Nd: 0.2500 0.3494 0.7857
Nd: 0.7500 0.6506 0.2143
Nd: 0.2500 0.7641 0.0032
Nd: 0.7500 0.2359 0.9968
Sm: 0.2500 0.9441 0.6088
Sm: 0.7500 0.0559 0.3912
Cd: 0.2500 0.4492 0.0904
Cd: 0.7500 0.5508 0.9096
Cd: 0.2500 0.1450 0.1906
Cd: 0.7500 0.8550 0.8094
Cd: 0.2500 0.6655 0.7092
Cd: 0.7500 0.3345 0.2908
Cd: 0.2500 0.2342 0.4890
Cd: 0.7500 0.7658 0.5110
Cd: 0.2500 0.8583 0.3077
Cd: 0.7500 0.1417 0.6923
Cd: 0.2500 0.0499 0.8978
Cd: 0.7500 0.9501 0.1022

## Properties
final energy = -2.75 eV/atom
total magnetic moment = 0.7 μB/cell
calculated formation energy = -0.2954 eV per atom

=====

No. 5
## ScCdSn (PBE-GGA)

Data for an optimized crystal structure of ScCdSn.

Cell: 4.3354 4.5842 13.6652 Å, 90.00 90.00 90.00°
Positions (direct):
Sc: 0.5000 0.0000 0.4478
Sc: 0.5000 0.5000 0.9478
Sc: 0.5000 0.0000 0.7557
Sc: 0.5000 0.5000 0.2557
Cd: 0.0000 0.0000 0.9308
Cd: 0.0000 0.5000 0.4308
Cd: 0.5000 0.0000 0.0954
Cd: 0.5000 0.5000 0.5954
Sn: 0.0000 0.0000 0.2861
Sn: 0.0000 0.5000 0.7861
Sn: 0.0000 0.0000 0.6017
Sn: 0.0000 0.5000 0.1017

## Properties
final energy = -4.15 eV/atom
total magnetic moment = 0.0 μB/cell
calculated formation energy = -0.3965 eV per atom

=====

No. 6
## SmAs3Ru5 (PBE-GGA)

Data for an optimized crystal structure of SmAs3Ru5.

Cell: 3.1442 6.8435 14.2394 Å, 90.00 90.00 103.28°
Positions (direct):
Sm: 0.8384 0.6768 0.7500
Sm: 0.1616 0.3232 0.2500
As: 0.3660 0.7320 0.9488
As: 0.8741 0.7482 0.2500
As: 0.3660 0.7320 0.5512
As: 0.6340 0.2680 0.4488
As: 0.1259 0.2518 0.7500
As: 0.6340 0.2680 0.0512
Ru: 0.8092 0.6184 0.4172
Ru: 0.1908 0.3816 0.9172
Ru: 0.0000 0.0000 0.5000
Ru: 0.0000 0.0000 0.0000
Ru: 0.4812 0.9623 0.1548
Ru: 0.5188 0.0377 0.8452
Ru: 0.5188 0.0377 0.6548
Ru: 0.8092 0.6184 0.0828
Ru: 0.1908 0.3816 0.5828
Ru: 0.4812 0.9623 0.3452

## Properties
final energy = -7.41 eV/atom
total magnetic moment = 0.0 μB/cell
calculated formation energy = -0.1842 eV per atom

=====

No. 7
## Dy14Pb3S24 (PBE-GGA)

Data for an optimized crystal structure of Dy14Pb3S24.

Cell: 7.2835 7.2835 18.9226 Å, 75.10 75.10 70.13°
Positions (direct):
Dy: 0.7909 0.2934 0.8059
Dy: 0.8147 0.8280 0.9624
Dy: 0.1317 0.6197 0.1211
Dy: 0.3803 0.8683 0.8789
Dy: 0.4571 0.9617 0.4631
Dy: 0.1636 0.1684 0.2868
Dy: 0.1720 0.1853 0.0376
Dy: 0.7066 0.2091 0.1941
Dy: 0.2064 0.4563 0.8383
Dy: 0.4946 0.4921 0.6316
Dy: 0.5079 0.5054 0.3684
Dy: 0.0383 0.5429 0.5369
Dy: 0.5437 0.7936 0.1617
Dy: 0.8316 0.8364 0.7132
Pb: 0.9560 0.7153 0.3301
Pb: 0.2847 0.0440 0.6699
Pb: 0.8753 0.1247 0.5000
S: 0.0406 0.1618 0.9159
S: 0.5161 0.1646 0.9182
S: 0.3735 0.4981 0.2431
S: 0.4149 0.8035 0.0365
S: 0.8582 0.4941 0.2444
S: 0.8354 0.4839 0.0818
S: 0.7660 0.6230 0.8671
S: 0.0364 0.9051 0.8042
S: 0.6938 0.8124 0.5896
S: 0.1965 0.5851 0.9635
S: 0.7485 0.1270 0.3646
S: 0.1951 0.8136 0.5835
S: 0.1864 0.8049 0.4165
S: 0.0949 0.9636 0.1958
S: 0.3770 0.2340 0.1329
S: 0.8382 0.9594 0.0841
S: 0.5380 0.9108 0.2897
S: 0.0892 0.4620 0.7103
S: 0.5059 0.1418 0.7556
S: 0.4184 0.2989 0.5344
S: 0.7011 0.5816 0.4656
S: 0.1876 0.3062 0.4104
S: 0.8730 0.2515 0.6354
S: 0.5019 0.6265 0.7569

## Properties
final energy = -6.06 eV/atom
total magnetic moment = 0.0 μB/cell
energy relative to the elements, uncorrected = -1.80 eV/atom

=====

No. 8
## CoAuBr4 (PBE-GGA)

Data for an optimized crystal structure of CoAuBr4.

Cell: 6.1401 6.1401 6.1401 Å, 60.00 60.00 60.00°
Positions (direct):
Co: 0.7500 0.7500 0.7500
Au: 0.0000 0.0000 0.0000
Br: 0.8755 0.3748 0.3748
Br: 0.3748 0.3748 0.8755
Br: 0.3748 0.8755 0.3748
Br: 0.3748 0.3748 0.3748

## Properties
final energy = -1.66 eV/atom
total magnetic moment = 1.9 μB/cell
energy relative to the lowest polymorph listed for this composition = 8.07 eV/f.u.
energy relative to the elements, uncorrected = 1.18 eV/atom

=====

No. 9
## SrTl (PBE-GGA)

Data for an optimized crystal structure of SrTl.

Cell: 6.7121 6.7121 6.8736 Å, 90.00 90.00 90.00°
Positions (direct):
Sr: 0.1988 0.8012 0.0000
Sr: 0.6988 0.6988 0.5000
Sr: 0.3012 0.3012 0.5000
Sr: 0.8012 0.1988 0.0000
Tl: 0.3175 0.3175 0.0000
Tl: 0.8175 0.1825 0.5000
Tl: 0.1825 0.8175 0.5000
Tl: 0.6825 0.6825 0.0000

## Properties
final energy = -2.23 eV/atom
total magnetic moment = 0.0 μB/cell
calculated formation energy = -0.2084 eV per atom

=====

No. 10
## LaTb2CeHg4 (PBE-GGA)

Data for an optimized crystal structure of LaTb2CeHg4.

Cell: 5.3873 5.3873 9.3426 Å, 73.24 73.24 60.00°
Positions (direct):
La: 0.0000 0.0000 0.0000
Tb: 0.7513 0.7513 0.7461
Tb: 0.2487 0.2487 0.2539
Ce: 0.5000 0.5000 0.5000
Hg: 0.3764 0.3764 0.8708
Hg: 0.8742 0.8742 0.3774
Hg: 0.1258 0.1258 0.6226
Hg: 0.6236 0.6236 0.1292

## Properties
final energy = -3.09 eV/atom
total magnetic moment = 2.3 μB/cell
calculated formation energy = -0.4246 eV per atom

=====

No. 11
## CrMoAsSe2 (PBE-GGA)

Data for an optimized crystal structure of CrMoAsSe2.

Cell: 4.9680 4.9680 4.8625 Å, 90.00 90.00 90.00°
Positions (direct):
Cr: 0.5000 0.5000 0.5000
Mo: 0.0000 0.0000 0.0000
As: 0.0000 0.0000 0.5000
Se: 0.0000 0.5000 0.0000
Se: 0.5000 0.0000 0.0000

## Properties
final energy = -5.86 eV/atom
total magnetic moment = 4.6 μB/cell
energy relative to the lowest polymorph listed for this composition = 0.00 eV/f.u.
energy relative to the elements, uncorrected = 0.56 eV/atom

=====

No. 12
## SrSmRh (PBE-GGA)

Data for an optimized crystal structure of SrSmRh.

Cell: 5.0507 7.6865 10.9333 Å, 91.99 103.35 90.00°
Positions (direct):
Sr: 0.0753 0.3098 0.1505
Sr: 0.4115 0.1662 0.8230
Sr: 0.5885 0.8338 0.1770
Sr: 0.9247 0.6902 0.8495
Sm: 0.2079 0.6140 0.4158
Sm: 0.7704 0.8695 0.5409
Sm: 0.7921 0.3860 0.5842
Sm: 0.2296 0.1305 0.4591
Rh: 0.3330 0.4918 0.6661
Rh: 0.6797 0.1559 0.3595
Rh: 0.6670 0.5082 0.3339
Rh: 0.3203 0.8441 0.6405

## Properties
final energy = -4.95 eV/atom
total magnetic moment = 0.0 μB/cell
energy relative to the lowest polymorph listed for this composition = 0.00 eV/f.u.
calculated formation energy = -0.3612 eV per atom

=====

No. 13
## ZrBeHg2 (PBE-GGA)

Data for an optimized crystal structure of ZrBeHg2.

Cell: 3.0987 3.0987 7.8539 Å, 90.00 90.00 90.00°
Positions (direct):
Be: 0.5000 0.5000 0.7547
Hg: 0.0000 0.0000 0.9462
Hg: 0.5000 0.5000 0.2561
Zr: 0.0000 0.0000 0.5431

## Properties
final energy = -3.16 eV/atom
total magnetic moment = 0.0 μB/cell
calculated formation energy = 0.0604 eV per atom

=====

No. 14
## Dy4Tm6Th (PBE-GGA)

Data for an optimized crystal structure of Dy4Tm6Th.

Cell: 5.6027 5.5841 25.3294 Å, 90.00 90.00 120.11°
Positions (direct):
Dy: 0.8344 0.6688 0.5412
Dy: 0.4961 0.9921 0.1222
Dy: 0.1656 0.3312 0.4588
Dy: 0.5039 0.0079 0.8778
Dy: 0.8344 0.6688 0.9588
Dy: 0.1656 0.3312 0.0412
Dy: 0.5039 0.0079 0.6222
Dy: 0.4961 0.9921 0.3778
Tm: 0.5000 0.0000 0.0000
Tm: 0.5000 0.0000 0.5000
Tm: 0.1629 0.3258 0.3172
Tm: 0.8371 0.6742 0.6828
Tm: 0.8371 0.6742 0.8172
Tm: 0.1629 0.3258 0.1828
Tm: 0.8303 0.6606 0.3980
Tm: 0.1697 0.3394 0.6020
Tm: 0.1697 0.3394 0.8980
Tm: 0.8303 0.6606 0.1020
Tm: 0.4962 0.9924 0.2500
Tm: 0.5038 0.0076 0.7500
Th: 0.8298 0.6595 0.2500
Th: 0.1702 0.3405 0.7500

## Properties
final energy = -4.65 eV/atom
total magnetic moment = 0.0 μB/cell
energy relative to the lowest polymorph listed for this composition = 0.00 eV/f.u.
calculated formation energy = 0.1348 eV per atom

=====

No. 15
## HoCuSn (PBE-GGA)

Data for an optimized crystal structure of HoCuSn.

Cell: 4.5357 4.5357 7.2472 Å, 90.00 90.00 120.00°
Positions (direct):
Ho: 0.0000 0.0000 0.9931
Ho: 0.0000 0.0000 0.4931
Cu: 0.6667 0.3333 0.3172
Cu: 0.3333 0.6667 0.8172
Sn: 0.6667 0.3333 0.7237
Sn: 0.3333 0.6667 0.2237

## Properties
final energy = -4.83 eV/atom
total magnetic moment = 0.0 μB/cell
calculated formation energy = -0.6020 eV per atom

=====

No. 16
## TlHgGeI2 (PBE-GGA)

Data for an optimized crystal structure of TlHgGeI2.

Cell: 5.9804 5.9804 5.4396 Å, 90.00 90.00 90.00°
Positions (direct):
I: 0.0000 0.5000 0.0000
I: 0.5000 0.0000 0.0000
Tl: 0.5000 0.5000 0.5000
Ge: 0.0000 0.0000 0.0000
Hg: 0.0000 0.0000 0.5000

## Properties
final energy = -2.24 eV/atom
total magnetic moment = 0.0 μB/cell
energy relative to the elements, uncorrected = -0.17 eV/atom

=====

No. 17
## CdAgIO2 (PBE-GGA)

Data for an optimized crystal structure of CdAgIO2.

Cell: 4.1751 4.1751 6.9645 Å, 90.00 90.00 90.00°
Positions (direct):
I: 0.0000 0.0000 0.5000
O: 0.0000 0.5000 0.0000
O: 0.5000 0.0000 0.0000
Ag: 0.5000 0.5000 0.5000
Cd: 0.0000 0.0000 0.0000

## Properties
final energy = -2.92 eV/atom
total magnetic moment = 1.3 μB/cell
energy relative to the lowest polymorph listed for this composition = 0.00 eV/f.u.
energy relative to the elements, uncorrected = 0.13 eV/atom

=====

No. 18
## SnPdAu (PBE-GGA)

Data for an optimized crystal structure of SnPdAu.

Cell: 3.1320 4.5730 4.5730 Å, 120.00 90.00 90.00°
Positions (direct):
Au: 0.3704 0.6667 0.3333
Sn: 0.6995 0.3333 0.6667
Pd: 0.9302 0.0000 0.0000

## Properties
final energy = -4.37 eV/atom
total magnetic moment = 0.0 μB/cell
energy relative to the lowest polymorph listed for this composition = 0.21 eV/f.u.
calculated formation energy = -0.2115 eV per atom

=====

No. 19
## MgI2BrO (PBE-GGA)

Data for an optimized crystal structure of MgI2BrO.

Cell: 6.1810 6.1810 3.6497 Å, 90.00 90.00 90.00°
Positions (direct):
I: 0.0000 0.5000 0.0000
I: 0.5000 0.0000 0.0000
Mg: 0.0000 0.0000 0.0000
O: 0.0000 0.0000 0.5000
Br: 0.5000 0.5000 0.5000

## Properties
final energy = -2.61 eV/atom
total magnetic moment = 0.0 μB/cell
energy relative to the lowest polymorph listed for this composition = 0.00 eV/f.u.
energy relative to the elements, uncorrected = -0.35 eV/atom

=====

No. 20
## GaHgAu14 (PBE-GGA)

Data for an optimized crystal structure of GaHgAu14.

Cell: 6.0298 6.0298 8.0307 Å, 90.00 90.00 90.02°
Positions (direct):
Ga: 0.3750 0.3750 0.5000
Hg: 0.8750 0.8750 0.5000
Au: 0.8750 0.8750 0.0000
Au: 0.3750 0.3750 0.0000
Au: 0.8750 0.3750 0.5000
Au: 0.8750 0.3750 0.0000
Au: 0.3750 0.8750 0.5000
Au: 0.3750 0.8750 0.0000
Au: 0.6212 0.1288 0.2500
Au: 0.6212 0.1288 0.7500
Au: 0.1288 0.6212 0.2500
Au: 0.1288 0.6212 0.7500
Au: 0.6210 0.6210 0.2501
Au: 0.6210 0.6210 0.7499
Au: 0.1290 0.1290 0.2501
Au: 0.1290 0.1290 0.7499

## Properties
final energy = -3.07 eV/atom
total magnetic moment = 0.0 μB/cell
calculated formation energy = 0.0038 eV per atom